## ZnP2Ru (GGA-PBEsol)

Data for a relaxed ZnP2Ru crystal.

abc: 5.9661 5.9661 5.9661
angles: 90.00 90.00 90.00
Space group F-43m (No. 216)
One atom of each set of equivalent atoms:
1 Zn 0.0000 0.0000 0.0000 (multiplicity 4)
2 P 0.0000 0.0000 0.5000 (multiplicity 4)
3 P 0.2500 0.2500 0.2500 (multiplicity 4)
4 Ru 0.2500 0.2500 0.7500 (multiplicity 4)

Values from the calculation:
**Uncorrected energy**: -5.47 eV per atom